(1)
First-principles (GGA-PBE) data for crystalline CsInBr2 at its relaxed geometry, as listed in Alexandria.

- Energy relative to the lowest polymorph listed for this composition: 0.067 eV/atom

```
CsInBr2
1.0
5.9449 0.0000 0.0000
0.0000 5.9449 0.0000
0.0000 0.0000 4.1956
Cs In Br
1 1 2
Cartesian
0.0000 0.0000 0.0000 Cs
2.9725 2.9725 0.0000 In
0.0000 2.9725 2.0978 Br
2.9725 0.0000 2.0978 Br
```


(2)
First-principles (GGA-PBE) data for crystalline CsInBr2 at its relaxed geometry, as listed in Alexandria.

- Energy relative to the lowest polymorph listed for this composition: 0.030 eV/atom

```
CsInBr2
1.0
2.4446 1.4114 8.3817
-2.4446 1.4114 8.3817
0.0000 -2.8228 8.3817
Cs In Br
1 1 2
Cartesian
0.0000 0.0000 0.0000 Cs
0.0000 0.0000 4.2346 In
0.0000 0.0000 14.4835 Br
0.0000 0.0000 19.0878 Br
```


(3)
First-principles (GGA-PBE) data for crystalline CsInBr3 at its relaxed geometry, as listed in Alexandria.

```
CsInBr3
1.0
0.0000 7.6191 7.6191
7.6191 0.0000 7.6191
7.6191 7.6191 0.0000
Cs In Br
4 4 12
Cartesian
0.0000 0.0000 0.0000 Cs
3.8096 3.8096 0.0000 Cs
3.8096 0.0000 3.8096 Cs
0.0000 3.8096 3.8096 Cs
7.6191 3.8096 3.8096 In
3.8096 7.6191 3.8096 In
3.8096 3.8096 7.6191 In
7.6191 7.6191 7.6191 In
5.7143 5.7143 2.6721 Br
5.7143 2.6721 5.7143 Br
8.7566 5.7143 5.7143 Br
9.5239 9.5239 6.4816 Br
9.5239 6.4816 9.5239 Br
12.5662 9.5239 9.5239 Br
2.6721 5.7143 5.7143 Br
5.7143 8.7566 5.7143 Br
5.7143 5.7143 8.7566 Br
6.4816 9.5239 9.5239 Br
9.5239 12.5662 9.5239 Br
9.5239 9.5239 12.5662 Br
```


(4)
First-principles (GGA-PBE) data for crystalline Cs3In2Br7 at its relaxed geometry, as listed in Alexandria.

- Energy relative to the lowest polymorph listed for this composition: 0.000 eV/atom

```
Cs3In2Br7
1.0
-2.8723 2.8723 14.8906
2.8723 -2.8723 14.8906
2.8723 2.8723 -14.8906
Cs In Br
3 2 7
Cartesian
0.0000 0.0000 0.0000 Cs
0.0000 0.0000 5.4119 Cs
0.0000 0.0000 24.3693 Cs
0.0000 0.0000 11.9442 In
0.0000 0.0000 17.8370 In
2.8723 0.0000 2.8790 Br
0.0000 0.0000 9.0626 Br
2.8723 0.0000 12.0116 Br
0.0000 0.0000 14.8906 Br
0.0000 2.8723 2.8790 Br
0.0000 0.0000 20.7185 Br
0.0000 2.8723 12.0116 Br
```


no.,volume (A^3/atom),uncorrected formation energy (kJ/mol of atoms)
1,37.07,-110.9
2,43.38,-114.5
3,44.23,-104.1
4,40.95,-125.2